The following is a PBE calculation of a relaxed Pm3Nd2Sm8 crystal, from the Alexandria database.

Formation energy from the elements (eV per atom): 0.25
Excess energy over the best structure of this formula in the dataset (eV/atom): 0.234
N(E_F) (states/eV per atom): 1.562

a = 6.8950 Å, b = 9.2072 Å, c = 8.7909 Å
α = 121.58°, β = 97.85°, γ = 90.00°
Last column: nearest neighbours and their distance in Å.
Fractional coordinates of all 13 atoms:
Pm1 0.5000 0.0000 0.0000  6 Sm 3.44-3.48, 2 Nd 3.57, 4 Pm 3.79
Pm2 0.0000 0.8303 0.0000  1 Pm 3.12, 4 Sm 3.46-3.48
Pm3 0.0000 0.1697 0.0000  1 Pm 3.12, 4 Sm 3.46-3.48
Sm1 0.8733 0.5845 0.1689  4 Sm 3.30-3.55, 2 Pm 3.46, 1 Nd 3.55
Sm2 0.4325 0.4344 0.2284  4 Sm 3.31-3.69, 2 Nd 3.44-3.53, 2 Pm 3.48
Sm3 0.4325 0.7941 0.2284  4 Sm 3.31-3.69, 2 Nd 3.44-3.53, 2 Pm 3.48
Sm4 0.5675 0.5656 0.7716  4 Sm 3.31-3.69, 2 Nd 3.44-3.53, 2 Pm 3.48
Sm5 0.7958 0.2082 0.4163  2 Nd 3.39-3.51, 1 Pm 3.44, 3 Sm 3.55-3.69
Sm6 0.5675 0.2059 0.7716  4 Sm 3.31-3.69, 2 Nd 3.44-3.53, 2 Pm 3.48
Sm7 0.2042 0.7918 0.5837  2 Nd 3.39-3.51, 1 Pm 3.44, 3 Sm 3.55-3.69
Sm8 0.1267 0.4155 0.8311  4 Sm 3.30-3.55, 2 Pm 3.46, 1 Nd 3.55
Nd1 0.7158 0.7988 0.5977  7 Sm 3.39-3.55, 3 Pm 3.57-3.67
Nd2 0.2842 0.2012 0.4023  7 Sm 3.39-3.55, 3 Pm 3.57-3.67